# 1
Below is an optimized crystal structure of TbY2In3CuPd2, with properties calculated at the PBE level.

Lattice parameters (Å, degrees): 3.8525 7.6801 7.6801 119.82 90.00 90.00
Atoms (fractional coordinates):
In 0.5000 0.0005 0.7481
In 0.5000 0.7481 0.0005
In 0.5000 0.2513 0.2513
Tb 0.0000 0.5898 0.5898
Pd 0.5000 0.3345 0.6667
Pd 0.5000 0.6667 0.3345
Y 0.0000 0.0002 0.4093
Y 0.0000 0.4093 0.0002
Cu 0.0000 0.9995 0.9995

space group	Amm2, No. 38
mass density	8.07	g/cm³
E_tot	-5.135	eV/atom

---

# 2
Below is an optimized crystal structure of InCuTcPd, with properties calculated at the PBE level.

Lattice parameters (Å, degrees): 4.4914 4.4914 4.4914 60.00 60.00 60.00
Atoms (fractional coordinates):
Tc 0.5000 0.5000 0.5000
Pd 0.2500 0.2500 0.2500
In 0.0000 0.0000 0.0000
Cu 0.7500 0.7500 0.7500

relative energy among the computed polymorphs	0.00	kcal/mol of atoms
space group	F-43m, No. 216
mass density	9.92	g/cm³
E_tot	-5.326	eV/atom

---

What is the E_tot in the first record?
-5.135 eV/atom